The following is a PBEsol calculation of a geometry-optimized In2PtW structure, from the Alexandria database.

Structure (POSCAR):
```
In2PtW
1.0
2.9049 0.0000 0.0000
0.0000 2.9049 0.0000
0.0000 0.0000 8.7835
In Pt W
2 1 1
Cartesian
0.0000 0.0000 0.0000
1.4525 1.4525 2.7359
0.0000 0.0000 4.8956
1.4525 1.4525 6.6475
```

Summary:
Calculated formation energy (eV per atom): 0.095
Crystal system: tetragonal
Energy above the lowest structure with this stoichiometry (meV/atom): 0

---

The following is a PBEsol calculation of a geometry-optimized InPtW structure, from the Alexandria database.

Structure (POSCAR):
```
InPtW
1.0
4.5594 0.0000 0.0000
-2.2797 3.9486 0.0000
0.0000 0.0000 2.7744
In Pt W
1 1 1
Cartesian
0.0000 0.0000 0.0000
0.0000 2.6324 2.7686
2.2797 1.3162 1.3834
```

Summary:
Calculated formation energy (eV per atom): 0.296
Crystal system: trigonal

---

The following is a PBEsol calculation of a geometry-optimized Y2InPt structure, from the Alexandria database.

Structure (POSCAR):
```
Y2InPt
1.0
1.9403 1.1202 8.3816
-1.9403 1.1202 8.3816
0.0000 -2.2405 8.3816
Y In Pt
2 1 1
Cartesian
0.0000 0.0000 0.0000
0.0000 0.0000 5.3248
0.0000 0.0000 19.0070
0.0000 0.0000 12.1067
```

Summary:
Calculated formation energy (eV per atom): -0.383
Crystal system: trigonal

---

The following is a PBEsol calculation of a geometry-optimized Y2InPt structure, from the Alexandria database.

Structure (POSCAR):
```
Y2InPt
1.0
0.0000 3.4890 3.4890
3.4890 0.0000 3.4890
3.4890 3.4890 0.0000
Y In Pt
2 1 1
Cartesian
0.0000 0.0000 0.0000
1.7445 1.7445 1.7445
5.2334 5.2334 5.2334
3.4890 3.4890 3.4890
```

Summary:
Calculated formation energy (eV per atom): -0.499
Crystal system: cubic

---

The following is a PBEsol calculation of a geometry-optimized Y2InPt structure, from the Alexandria database.

Structure (POSCAR):
```
Y2InPt
1.0
4.4798 0.0000 0.0000
0.0000 1.8936 5.5887
0.0000 -1.8936 5.5887
Y In Pt
2 1 1
Cartesian
0.0000 0.0000 0.0000
2.2399 0.0000 3.2999
0.0000 0.0000 8.0337
2.2399 0.0000 6.2346
```

Summary:
Calculated formation energy (eV per atom): -0.808
Crystal system: orthorhombic

---

The following is a PBEsol calculation of a geometry-optimized Y2InPt structure, from the Alexandria database.

Structure (POSCAR):
```
Y2InPt
1.0
3.5331 0.0000 0.0000
0.0000 3.5331 0.0000
0.0000 0.0000 7.3629
Y In Pt
2 1 1
Cartesian
0.0000 0.0000 1.6346
0.0000 0.0000 5.7283
1.7665 1.7665 3.6815
1.7665 1.7665 0.0000
```

Summary:
Calculated formation energy (eV per atom): -0.865
Crystal system: tetragonal

---

The following is a PBEsol calculation of a geometry-optimized YInPt3 structure, from the Alexandria database.

Structure (POSCAR):
```
YInPt3
1.0
5.0108 0.0000 0.0000
0.0000 5.0108 0.0000
0.0000 0.0000 5.0108
Y In Pt
1 1 3
Cartesian
0.0000 0.0000 0.0000
2.5054 2.5054 2.5054
0.0000 0.0000 2.5054
0.0000 2.5054 0.0000
2.5054 0.0000 0.0000
```

Summary:
Calculated formation energy (eV per atom): 0.834
Crystal system: cubic

---

The following is a PBEsol calculation of a geometry-optimized Zn2InPt2 structure, from the Alexandria database.

Structure (POSCAR):
```
Zn2InPt2
1.0
7.4007 0.0000 0.0000
0.0000 7.4007 0.0000
0.0000 0.0000 2.8988
Zn In Pt
4 2 4
Cartesian
1.0988 2.6016 0.0000
2.6016 6.3019 0.0000
4.7992 1.0988 0.0000
6.3019 4.7992 0.0000
0.0000 0.0000 1.4494
3.7004 3.7004 1.4494
1.0890 4.7894 1.4494
2.6113 1.0890 1.4494
4.7894 6.3117 1.4494
6.3117 2.6113 1.4494
```

Summary:
Calculated formation energy (eV per atom): -0.423
Crystal system: tetragonal

---

What did we get for D(E_F)? Answer: 2.26, 2.42, 4.17, 3.97, 3.37, 2.63, 4.22, 2.11 states/eV/cell, in the order shown.